No. 1
A relaxed ZnGeS crystal. Source: Alexandria, functional GGA-PBE.

Properties
Total moment ... 0.00 μB per formula unit
Volume ... 19.706 Å³/atom
Space-group type ... P1, No. 1
ΔE_f (raw) ... -0.094 eV per atom
DFT total energy ... -3.43 eV/atom
Calculated density ... 4778 kg/m3

Unit cell a=3.459 b=3.768 c=4.753 alpha=89.99 beta=89.99 gamma=72.62
Atoms (fractional coordinates):
S 0.348 0.349 0.431
Zn 0.352 0.848 0.097
Ge 0.848 0.347 0.799

***

No. 2
A relaxed Nd6DyHoEr2 crystal. Source: Alexandria, functional GGA-PBE.

Properties
Energy of formation ... 0.116 eV/atom
Total moment ... 0.00 μB per formula unit
Volume ... 33.831 Å³/atom
Space-group type ... C2/c, No. 15
DFT total energy ... -4.57 eV/atom
Calculated density ... 7497 kg/m3

Unit cell a=9.625 b=8.943 c=8.943 alpha=117.59 beta=93.80 gamma=93.80
Atoms (fractional coordinates):
Er 0.547 0.201 0.298
Nd 0.882 0.293 0.512
Nd 0.946 0.885 0.237
Nd 0.054 0.115 0.763
Nd 0.813 0.437 0.991
Dy 0.750 0.029 0.971
Er 0.953 0.702 0.799
Nd 0.118 0.707 0.488
Nd 0.687 0.009 0.563
Ho 0.750 0.589 0.411
Nd 0.446 0.237 0.885
Nd 0.382 0.512 0.293
Nd 0.187 0.563 0.009
Nd 0.554 0.763 0.115
Ho 0.250 0.411 0.589
Er 0.453 0.799 0.702
Er 0.047 0.298 0.201
Dy 0.250 0.971 0.029
Nd 0.313 0.991 0.437
Nd 0.618 0.488 0.707

***

No. 3
A relaxed NdSm5Er2Tm crystal. Source: Alexandria, functional GGA-PBE.

Properties
Energy of formation ... 0.149 eV/atom
Total moment ... 0.00 μB per formula unit
Volume ... 33.739 Å³/atom
Space-group type ... Cmc2_1, No. 36
DFT total energy ... -4.51 eV/atom
Calculated density ... 7653 kg/m3

Unit cell a=5.617 b=10.485 c=10.704 alpha=90.00 beta=90.00 gamma=105.54
Atoms (fractional coordinates):
Er 0.115 0.231 0.316
Er 0.109 0.219 0.739
Nd 0.202 0.403 0.010
Sm 0.480 0.960 0.742
Tm 0.411 0.822 0.459
Sm 0.702 0.403 0.205
Sm 0.392 0.784 0.024
Er 0.885 0.769 0.816
Er 0.891 0.781 0.239
Sm 0.983 0.967 0.523
Tm 0.589 0.178 0.959
Sm 0.282 0.563 0.307
Sm 0.520 0.040 0.242
Sm 0.608 0.216 0.524
Nd 0.798 0.597 0.510
Sm 0.298 0.597 0.705
Sm 0.718 0.437 0.807
Sm 0.017 0.033 0.023

***

No. 4
A relaxed W2SeBr crystal. Source: Alexandria, functional GGA-PBE.

Properties
Relative energy among the computed polymorphs ... 4.06 eV per formula unit
Total moment ... 0.00 μB per formula unit
Volume ... 17.439 Å³/atom
Space-group type ... I-4m2, No. 119
ΔE_f (raw) ... 1.156 eV per atom
DFT total energy ... -6.61 eV/atom
Calculated density ... 12534 kg/m3

Unit cell a=4.938 b=4.938 c=4.938 alpha=129.57 beta=129.57 gamma=74.09
Atoms (fractional coordinates):
Br 0.500 0.500 0.000
Se 0.750 0.250 0.500
W 0.250 0.750 0.500
W 0.000 0.000 0.000